1.
Here is an optimized crystal structure of Cd4SeS3 from Alexandria via LeMat-Bulk. Energies are from GGA-PBE.

a = 8.4845 Å, b = 7.3472 Å, c = 6.9104 Å
α = 90.00°, β = 90.00°, γ = 90.00°
Closest atoms and distances in Å follow each position.
Space group Pmn2_1 (No. 31)
Asymmetric unit:
Cd (0.0000, 0.1628, 0.0000) x2  3 S 2.57-2.58, 1 Se 2.68
Cd (0.0000, 0.8221, 0.5158) x2  3 S 2.57, 1 Se 2.67
Cd (0.2438, 0.6620, 0.0167) x4  3 S 2.56-2.57, 1 Se 2.67
Se (0.0000, 0.1653, 0.3880) x2  4 Cd 2.67-2.68
S (0.0000, 0.8293, 0.8882) x2  4 Cd 2.56-2.57
S (0.2491, 0.3338, 0.8890) x4  4 Cd 2.57-2.58

Output
The energy above the lowest structure with this stoichiometry comes out at 0.0 meV/atom. Its formation energy without anion corrections is -0.634 eV per atom.

2.
Here is an optimized crystal structure of Ho6HgGe2Se3 from Alexandria via LeMat-Bulk. Energies are from GGA-PBE.

a = 18.2732 Å, b = 4.1066 Å, c = 8.3701 Å
α = 90.00°, β = 107.37°, γ = 90.00°
Closest atoms and distances in Å follow each position.
Space group C2/m (No. 12)
Asymmetric unit:
Ho (0.0016, 0.0000, 0.2378) x4  3 Se 2.85-2.90, 1 Ge 2.88, 2 Hg 3.01
Ho (0.1714, 0.5000, 0.0691) x4  3 Ge 2.88-2.90, 3 Se 3.00-3.01
Ho (0.1707, 0.5000, 0.5881) x4  3 Se 2.83-2.98, 2 Ge 2.87, 1 Hg 2.98
Hg (0.0000, 0.5000, 0.5000) x2  6 Ho 2.98-3.01
Ge (0.1621, 0.0000, 0.8221) x4  6 Ho 2.87-2.90
Se (0.0000, 0.5000, 0.0000) x2  6 Ho 2.85-3.01
Se (0.1675, 0.0000, 0.3272) x4  6 Ho 2.83-3.00

Output
Its formation energy without anion corrections is -1.258 eV per atom.

3.
Here is an optimized crystal structure of AlReRu2 from Alexandria via LeMat-Bulk. Energies are from GGA-PBE.

a = 2.8858 Å, b = 2.8858 Å, c = 6.7630 Å
α = 90.00°, β = 90.00°, γ = 90.00°
Closest atoms and distances in Å follow each position.
Space group P4mm (No. 99)
Asymmetric unit:
Al (0.0000, 0.0000, 0.0000) x1  4 Ru 2.53, 4 Re 2.68
Re (0.5000, 0.5000, 0.2565) x1  4 Ru 2.65, 4 Al 2.68, 4 Re 2.89
Ru (0.0000, 0.0000, 0.5067) x1  4 Re 2.65, 8 Ru 2.74-2.89
Ru (0.5000, 0.5000, 0.7776) x1  4 Al 2.53, 4 Ru 2.74

Output
The calculation puts the energy of formation from the pure elements at -122 meV/atom.

4.
Here is an optimized crystal structure of LaV3I from Alexandria via LeMat-Bulk. Energies are from GGA-PBE.

a = 4.7704 Å, b = 4.7704 Å, c = 4.7704 Å
α = 90.00°, β = 90.00°, γ = 90.00°
Closest atoms and distances in Å follow each position.
Space group Pm-3m (No. 221)
Asymmetric unit:
La (0.0000, 0.0000, 0.0000) x1  6 V 2.39
V (0.0000, 0.0000, 0.5000) x3  2 La 2.39
I (0.5000, 0.5000, 0.5000) x1  12 V 3.37

Output
The energy above the lowest structure with this stoichiometry comes out at 763.8 meV/atom. Its formation energy without anion corrections is 1.882 eV per atom.

5.
Here is an optimized crystal structure of KYIr2 from Alexandria via LeMat-Bulk. Energies are from GGA-PBE.

a = 4.9730 Å, b = 4.9730 Å, c = 19.0210 Å
α = 90.00°, β = 90.00°, γ = 90.00°
Closest atoms and distances in Å follow each position.
Space group I-42d (No. 122)
Asymmetric unit:
K (0.0000, 0.0000, 0.0000) x4  4 Ir 3.44, 4 Y 3.52
Y (0.0000, 0.0000, 0.5000) x4  4 Ir 2.70
Ir (0.0665, 0.2500, 0.6250) x8  2 Ir 2.57, 2 Y 2.70

Output
The calculation puts the energy of formation from the pure elements at 511 meV/atom. The energy above the lowest structure with this stoichiometry comes out at 450.8 meV/atom.

6.
Here is an optimized crystal structure of Ba2EuBr from Alexandria via LeMat-Bulk. Energies are from GGA-PBE.

a = 4.3676 Å, b = 4.3676 Å, c = 34.8802 Å
α = 90.00°, β = 90.00°, γ = 120.00°
Closest atoms and distances in Å follow each position.
Space group R-3m (No. 166, hexagonal axes)
Asymmetric unit:
Ba (0.0000, 0.0000, 0.2357) x6  3 Br 3.49
Eu (0.0000, 0.0000, 0.0000) x3  6 Ba 4.24, 6 Eu 4.37
Br (0.0000, 0.0000, 0.5000) x3  6 Ba 3.49

Output
The energy above the lowest structure with this stoichiometry comes out at 0.0 meV/atom. Its formation energy without anion corrections is -0.725 eV per atom.

Q: Which total DFT energy (no corrections) values were calculated for the entries above? A: -3.0753, -5.2123, -8.8079, -4.8847, -5.8094, -4.6729, in eV per atom.